# 1
Here is a relaxed Hf3Nb5P2 crystal from Alexandria. Energies are from PBE.

Values from the calculation:
- Crystal system: orthorhombic
- E_form: -0.23 eV/atom

abc: 8.823 8.823 8.823
angles: 110.58 81.48 142.81
Fractional coordinates of all 20 atoms:
Hf 0.182 0.210 0.392
Hf 0.250 0.250 0.000
Hf 0.318 0.710 0.029
Hf 0.682 0.290 0.971
Hf 0.750 0.750 0.000
Hf 0.818 0.790 0.608
Nb 0.052 0.725 0.778
Nb 0.059 0.750 0.309
Nb 0.250 0.750 0.500
Nb 0.441 0.750 0.691
Nb 0.448 0.225 0.673
Nb 0.552 0.775 0.327
Nb 0.559 0.250 0.309
Nb 0.750 0.250 0.500
Nb 0.941 0.250 0.691
Nb 0.948 0.275 0.222
P 0.170 0.905 0.075
P 0.330 0.405 0.735
P 0.670 0.595 0.265
P 0.830 0.095 0.925

***

# 2
Here is a relaxed HfMoRu crystal from Alexandria. Energies are from PBE.

Values from the calculation:
- Offset from the most stable computed form: 0.73 eV per formula unit
- Crystal system: monoclinic
- E_form: -0.13 eV/atom

abc: 4.892 4.892 5.250
angles: 98.62 98.62 55.34
Fractional coordinates of all 6 atoms:
Hf 0.178 0.178 0.140
Hf 0.822 0.822 0.860
Mo 0.484 0.484 0.750
Mo 0.516 0.516 0.250
Ru 0.149 0.149 0.638
Ru 0.851 0.851 0.362

***

# 3
Here is a relaxed TiCrH crystal from Alexandria. Energies are from PBE.

Values from the calculation:
- Offset from the most stable computed form: 0.00 eV per formula unit
- Crystal system: trigonal

abc: 6.105 6.105 6.105
angles: 35.40 35.40 35.40
Fractional coordinates of all 6 atoms:
Ti 0.096 0.096 0.096
Ti 0.904 0.904 0.904
Cr 0.313 0.313 0.313
Cr 0.687 0.687 0.687
H 0.212 0.212 0.212
H 0.788 0.788 0.788

***

# 4
Here is a relaxed TbGa2CuPd2 crystal from Alexandria. Energies are from PBE.

Values from the calculation:
- Crystal system: tetragonal
- E_form: -0.33 eV/atom

abc: 4.513 4.513 5.549
angles: 90.00 90.00 90.00
Fractional coordinates of all 6 atoms:
Tb 0.000 0.000 0.000
Ga 0.000 0.500 0.500
Ga 0.500 0.000 0.500
Cu 0.000 0.000 0.500
Pd 0.500 0.500 0.242
Pd 0.500 0.500 0.758

***

# 5
Here is a relaxed Nd5Tl2Se crystal from Alexandria. Energies are from PBE.

Values from the calculation:
- Crystal system: orthorhombic
- Formation energy (no corrections): -0.6377 eV per atom

abc: 12.676 9.377 8.324
angles: 90.00 90.00 90.00
Fractional coordinates of all 32 atoms:
Nd 0.002 0.250 0.035
Nd 0.072 0.545 0.311
Nd 0.072 0.955 0.311
Nd 0.203 0.250 0.643
Nd 0.213 0.750 0.658
Nd 0.287 0.250 0.158
Nd 0.297 0.750 0.143
Nd 0.428 0.045 0.811
Nd 0.428 0.455 0.811
Nd 0.498 0.750 0.535
Nd 0.502 0.250 0.465
Nd 0.572 0.545 0.189
Nd 0.572 0.955 0.189
Nd 0.703 0.250 0.857
Nd 0.713 0.750 0.842
Nd 0.787 0.250 0.342
Nd 0.797 0.750 0.357
Nd 0.928 0.045 0.689
Nd 0.928 0.455 0.689
Nd 0.998 0.750 0.965
Tl 0.173 0.003 0.930
Tl 0.173 0.497 0.930
Tl 0.327 0.503 0.430
Tl 0.327 0.997 0.430
Tl 0.673 0.003 0.570
Tl 0.673 0.497 0.570
Tl 0.827 0.503 0.070
Tl 0.827 0.997 0.070
Se 0.013 0.250 0.432
Se 0.487 0.750 0.932
Se 0.513 0.250 0.068
Se 0.987 0.750 0.568

***

# 6
Here is a relaxed PmEuDyTh crystal from Alexandria. Energies are from PBE.

Values from the calculation:
- Crystal system: cubic
- E_form: 0.22 eV/atom

abc: 5.786 5.786 5.786
angles: 60.00 60.00 60.00
Fractional coordinates of all 4 atoms:
Pm 0.000 0.000 0.000
Eu 0.250 0.250 0.250
Dy 0.500 0.500 0.500
Th 0.750 0.750 0.750

***

# 7
Here is a relaxed Ca12Bi4PN3 crystal from Alexandria. Energies are from PBE.

Values from the calculation:
- Crystal system: cubic
- Formation energy (no corrections): -1.0027 eV per atom

abc: 8.735 8.735 8.735
angles: 109.47 109.47 109.47
Fractional coordinates of all 20 atoms:
Ca 0.000 0.266 0.266
Ca 0.000 0.734 0.734
Ca 0.250 0.500 0.750
Ca 0.250 0.750 0.500
Ca 0.266 0.000 0.266
Ca 0.266 0.266 0.000
Ca 0.500 0.250 0.750
Ca 0.500 0.750 0.250
Ca 0.734 0.000 0.734
Ca 0.734 0.734 0.000
Ca 0.750 0.250 0.500
Ca 0.750 0.500 0.250
Bi 0.000 0.000 0.500
Bi 0.000 0.500 0.000
Bi 0.500 0.000 0.000
Bi 0.500 0.500 0.500
P 0.000 0.000 0.000
N 0.000 0.500 0.500
N 0.500 0.000 0.500
N 0.500 0.500 0.000

***

# 8
Here is a relaxed Ac2As4RuPt3 crystal from Alexandria. Energies are from PBE.

Values from the calculation:
- Crystal system: tetragonal
- E_form: -0.85 eV/atom

abc: 4.462 4.462 10.312
angles: 90.00 90.00 90.00
Fractional coordinates of all 10 atoms:
Ac 0.000 0.500 0.250
Ac 0.500 0.000 0.750
As 0.000 0.000 0.000
As 0.000 0.500 0.631
As 0.500 0.000 0.369
As 0.500 0.500 0.000
Ru 0.000 0.000 0.500
Pt 0.000 0.500 0.879
Pt 0.500 0.000 0.121
Pt 0.500 0.500 0.500

***

Number 1: magnetization 0.00 μB/cell. Number 2: magnetization 0.00 μB/cell. Number 3: magnetization 0.00 μB/cell. Number 4: magnetization 0.00 μB/cell. Number 5: magnetization 3.74 μB/cell. Number 6: magnetization 6.73 μB/cell. Number 7: magnetization 0.00 μB/cell. Number 8: magnetization 0.70 μB/cell.